16
Lattice="2.9962 1.7299 8.2970 -2.9962 1.7299 8.2970 0.0000 -3.4598 8.2970" Properties=species:S:1:pos:R:3 comment="Ba3Tm4O9 (PBEsol, optimized geometry)" volume_a3_per_cell=258 mass_density_g_cm3=7.93 formation_energy_uncorrected_ev_per_atom=-3.285 pbc="T T T"
Ba 0.0000 0.0000 0.0000
Ba 0.0000 0.0000 4.0747
Ba 0.0000 0.0000 14.4126
Tm 0.0000 0.0000 7.4722
Tm 0.0000 0.0000 10.5697
Tm 0.0000 0.0000 18.4014
Tm 0.0000 0.0000 21.5084
O -0.3105 -1.7249 6.1883
O -1.5898 -0.5603 8.9532
O -1.6819 -0.6747 11.7496
O -1.3386 1.1314 6.1883
O 1.2801 -1.0966 8.9533
O 0.3097 1.6569 8.9533
O 1.6491 0.5936 6.1883
O 1.4253 -1.1193 11.7497
O 0.2567 1.7939 11.7497